# PBE TbSmTmCd, relaxed
data_TbSmTmCd
_chemical_formula_sum 'Tb4 Sm4 Tm4 Cd4'
_cell_length_a 7.724
_cell_length_b 7.724
_cell_length_c 7.724
_cell_angle_alpha 90.00
_cell_angle_beta 90.00
_cell_angle_gamma 90.00
_symmetry_space_group_name_H-M 'F -4 3 m'
_symmetry_Int_Tables_number 216
_symmetry_space_group_name_Hall 'F -4 2 3'
loop_
_atom_site_label
_atom_site_type_symbol
_atom_site_fract_x
_atom_site_fract_y
_atom_site_fract_z
Tb1 Tb 0.000 0.000 0.000
Sm1 Sm 0.000 0.000 0.500
Tm1 Tm 0.250 0.250 0.750
Cd1 Cd 0.250 0.250 0.250
# * total magnetization: 0.000 μB per formula unit
# * ΔH_f (0 K): -0.04 eV per atom
# * polymorph energy (0 for the lowest one): 0.43 eV per formula unit